## BaIn2CuBi (PBE-GGA)

Data for a relaxed structure of BaIn2CuBi.

The structure in POSCAR format:
```
BaIn2CuBi
1.0
-1.896 -4.100 2.504
4.105 -2.780 -1.445
2.798 1.637 4.799
Ba Cu In Bi
1 1 2 1
Direct
0.500 0.500 0.500
0.000 0.000 0.000
0.000 0.500 0.000
0.500 0.000 0.000
0.000 0.000 0.500
```

Calculated values
Its energy of formation is -0.202 eV per atom. The calculated total energy is -3.278 eV per atom.